The following is a PBE+U calculation of a relaxed SrLaMnSnO6 crystal, from Alexandria via LeMat-Bulk.

calculated total energy	-143.1	eV per cell

Geometry as POSCAR:
```
SrLaMnSnO6
1.0
5.778 0.000 0.000
0.000 5.793 0.000
-5.687 0.000 7.923
Sr La Mn Sn O
2 2 2 2 12
Direct
0.000 0.222 0.000
0.000 0.778 0.500
0.485 0.292 0.499
0.485 0.708 0.999
0.744 0.247 0.249
0.744 0.753 0.749
0.245 0.245 0.749
0.245 0.755 0.249
0.004 0.474 0.791
0.004 0.526 0.291
0.097 0.040 0.295
0.097 0.960 0.795
0.416 0.480 0.207
0.416 0.520 0.707
0.501 0.037 0.704
0.501 0.963 0.204
0.577 0.280 0.009
0.577 0.720 0.509
0.896 0.228 0.490
0.896 0.772 0.990
```